Crystalline RbScBr3 at its relaxed geometry. Source: Alexandria, functional GGA-PBE.

abc: 3.972 9.035 9.035
angles: 60.51 90.00 90.00
Fractional positions:
Rb (0.000, 0.000, 0.000)
Sc (0.500, 0.334, 0.334)
Br (0.000, 0.185, 0.574)
Br (0.000, 0.574, 0.185)
Br (0.500, 0.166, 0.166)

- Crystal system: orthorhombic
- E_tot: -3.885 eV/atom
- E_form (uncorrected): -685.8 kJ/mol of formula units